Here is a relaxed TaCo2NiRu crystal from the Alexandria database. Energies are from GGA-PBE.

Unit cell a=4.290 b=4.290 c=4.415 alpha=90.00 beta=90.00 gamma=90.00
Fractional coordinates of all 5 atoms:
Ta 0.000 0.000 0.000
Co 0.000 0.500 0.500
Co 0.500 0.000 0.500
Ni 0.500 0.500 0.000
Ru 0.500 0.500 0.500

Properties
Formation energy   1.434 eV per atom
Energy   -6.790 eV per atom